No. 1
Density functional theory data (PBE) for a relaxed Al5FeRu6 crystal.

Properties
energy relative to the elements = -0.56 eV/atom
final energy = -7.46 eV per atom

Cell: 7.3363 7.3363 7.3363 Å, 146.43 131.64 60.15°
Fractional positions:
Al 0.0000 0.0000 0.0000
Al 0.1675 0.6675 0.5000
Al 0.3344 0.3344 0.0000
Al 0.6656 0.6656 0.0000
Al 0.8325 0.3325 0.5000
Fe 0.5000 0.0000 0.5000
Ru 0.0863 0.8351 0.2511
Ru 0.2517 0.5000 0.7517
Ru 0.4160 0.1649 0.2511
Ru 0.5840 0.8351 0.7489
Ru 0.7483 0.5000 0.2483
Ru 0.9137 0.1649 0.7489

=====

No. 2
Density functional theory data (PBE) for a relaxed Al4FeRu crystal.

Properties
energy relative to the elements = 0.10 eV/atom
final energy = -5.35 eV per atom

Cell: 4.9687 4.9687 4.9687 Å, 60.00 60.00 60.00°
Fractional positions:
Al 0.1251 0.1251 0.1251
Al 0.1251 0.1251 0.6247
Al 0.1251 0.6247 0.1251
Al 0.6247 0.1251 0.1251
Fe 0.7500 0.7500 0.7500
Ru 0.5000 0.5000 0.5000